The following is a DFT calculation (PBE with a Hubbard U) of a relaxed AlV3F crystal.

Computed properties:
density of states at the Fermi level: 1.08 states/eV per cell
ΔE to the lowest computed polymorph: 0 meV per atom
V: 16.86 A^3/atom

abc: 4.385 4.385 4.385
angles: 90.00 90.00 90.00
Sites, in units of the cell vectors:
V 0.000 0.000 0.500
Al 0.500 0.500 0.500
F 0.000 0.000 0.000
V 0.000 0.500 0.000
V 0.500 0.000 0.000